# 1
Below is LaCd4N2 after structural relaxation, with properties calculated at the GGA-PBE level.

## Properties
Formation energy from raw total energies = 570 meV per atom
Energy = -3.035 eV per atom

a b c (Å): 8.219 8.219 8.219
angles (deg): 132.19 132.19 69.93
Fractional coordinates of all 7 atoms:
La 0.000 0.000 0.000
Cd 0.000 0.500 0.500
Cd 0.241 0.241 0.000
Cd 0.500 0.000 0.500
Cd 0.759 0.759 0.000
N 0.458 0.458 0.000
N 0.542 0.542 0.000

# 2
Below is YNb2C after structural relaxation, with properties calculated at the GGA-PBE level.

## Properties
DFT formation energy = 0.01 eV per atom
Energy = -8.945 eV per atom

a b c (Å): 8.748 8.748 8.748
angles (deg): 20.98 20.98 20.98
Fractional coordinates of all 4 atoms:
Y 0.000 0.000 0.000
Nb 0.120 0.120 0.120
Nb 0.880 0.880 0.880
C 0.500 0.500 0.500

# 3
Below is Ac2Sn3Pt4Pb after structural relaxation, with properties calculated at the GGA-PBE level.

## Properties
DFT formation energy = -0.83 eV per atom
Energy = -5.639 eV per atom

a b c (Å): 4.746 4.746 10.836
angles (deg): 90.00 90.00 90.00
Fractional coordinates of all 10 atoms:
Ac 0.000 0.500 0.238
Ac 0.500 0.000 0.762
Sn 0.000 0.500 0.879
Sn 0.500 0.000 0.121
Sn 0.500 0.500 0.500
Pt 0.000 0.000 0.000
Pt 0.000 0.500 0.637
Pt 0.500 0.000 0.363
Pt 0.500 0.500 0.000
Pb 0.000 0.000 0.500

# 4
Below is PmUPa2C4 after structural relaxation, with properties calculated at the GGA-PBE level.

## Properties
DFT formation energy = -0.26 eV per atom
Energy = -9.250 eV per atom

a b c (Å): 6.234 3.599 6.240
angles (deg): 90.00 109.70 90.00
Fractional coordinates of all 8 atoms:
Pm 0.000 0.000 0.000
U 0.500 0.500 0.000
Pa 0.000 0.500 0.500
Pa 0.500 0.000 0.500
C 0.268 0.000 0.751
C 0.279 0.500 0.262
C 0.721 0.500 0.738
C 0.732 0.000 0.249

# 5
Below is Zr2CdNi9 after structural relaxation, with properties calculated at the GGA-PBE level.

## Properties
DFT formation energy = -0.25 eV per atom
Energy = -6.086 eV per atom

a b c (Å): 8.395 8.395 8.395
angles (deg): 33.63 33.63 33.63
Fractional coordinates of all 12 atoms:
Zr 0.137 0.137 0.137
Zr 0.863 0.863 0.863
Cd 0.000 0.000 0.000
Ni 0.080 0.587 0.587
Ni 0.334 0.334 0.334
Ni 0.413 0.413 0.920
Ni 0.413 0.920 0.413
Ni 0.500 0.500 0.500
Ni 0.587 0.080 0.587
Ni 0.587 0.587 0.080
Ni 0.666 0.666 0.666
Ni 0.920 0.413 0.413

# 6
Below is Tl3Cd4 after structural relaxation, with properties calculated at the GGA-PBE level.

## Properties
DFT formation energy = 0.14 eV per atom
Energy = -1.393 eV per atom

a b c (Å): 6.560 6.560 5.482
angles (deg): 90.00 90.00 120.00
Fractional coordinates of all 7 atoms:
Tl 0.000 0.500 0.000
Tl 0.500 0.000 0.000
Tl 0.500 0.500 0.000
Cd 0.000 0.000 0.254
Cd 0.000 0.000 0.746
Cd 0.333 0.667 0.500
Cd 0.667 0.333 0.500

# 7
Below is CdNi2W after structural relaxation, with properties calculated at the GGA-PBE level.

## Properties
DFT formation energy = 0.54 eV per atom
Energy = -5.814 eV per atom

a b c (Å): 4.331 4.331 4.331
angles (deg): 60.00 60.00 60.00
Fractional coordinates of all 4 atoms:
Cd 0.000 0.000 0.000
Ni 0.250 0.250 0.250
Ni 0.500 0.500 0.500
W 0.750 0.750 0.750

# 8
Below is YInAg4 after structural relaxation, with properties calculated at the GGA-PBE level.

## Properties
DFT formation energy = -0.22 eV per atom
Energy = -3.656 eV per atom

a b c (Å): 5.596 5.596 5.596
angles (deg): 60.00 60.00 60.00
Fractional coordinates of all 6 atoms:
Y 0.000 0.000 0.000
In 0.250 0.250 0.250
Ag 0.125 0.625 0.625
Ag 0.625 0.125 0.625
Ag 0.625 0.625 0.125
Ag 0.625 0.625 0.625

# 9
Below is LaBe2Tl after structural relaxation, with properties calculated at the GGA-PBE level.

## Properties
DFT formation energy = 0.06 eV per atom
Energy = -3.623 eV per atom

a b c (Å): 6.466 6.466 6.466
angles (deg): 35.94 35.94 35.94
Fractional coordinates of all 4 atoms:
La 0.000 0.000 0.000
Be 0.220 0.220 0.220
Be 0.552 0.552 0.552
Tl 0.805 0.805 0.805

# 10
Below is Rb2LaGe2 after structural relaxation, with properties calculated at the GGA-PBE level.

## Properties
DFT formation energy = -0.02 eV per atom
Energy = -3.243 eV per atom

a b c (Å): 7.754 7.754 6.180
angles (deg): 90.00 90.00 90.00
Fractional coordinates of all 10 atoms:
Rb 0.169 0.331 0.000
Rb 0.331 0.831 0.000
Rb 0.669 0.169 0.000
Rb 0.831 0.669 0.000
La 0.000 0.000 0.500
La 0.500 0.500 0.500
Ge 0.112 0.612 0.500
Ge 0.388 0.112 0.500
Ge 0.612 0.888 0.500
Ge 0.888 0.388 0.500

# 11
Below is U4Os after structural relaxation, with properties calculated at the GGA-PBE level.

## Properties
DFT formation energy = 0.76 eV per atom
Energy = -10.513 eV per atom

a b c (Å): 7.003 7.003 7.003
angles (deg): 60.00 60.00 60.00
Fractional coordinates of all 10 atoms:
U 0.167 0.778 0.778
U 0.222 0.222 0.222
U 0.222 0.222 0.833
U 0.222 0.833 0.222
U 0.778 0.167 0.778
U 0.778 0.778 0.167
U 0.778 0.778 0.778
U 0.833 0.222 0.222
Os 0.375 0.375 0.375
Os 0.625 0.625 0.625

# 12
Below is PmBIr after structural relaxation, with properties calculated at the GGA-PBE level.

## Properties
DFT formation energy = -0.57 eV per atom
Energy = -7.338 eV per atom

a b c (Å): 3.694 3.694 4.467
angles (deg): 90.00 90.00 120.00
Fractional coordinates of all 3 atoms:
Pm 0.000 0.000 0.000
B 0.333 0.667 0.500
Ir 0.667 0.333 0.500

# 13
Below is PmPr2Nd4Ho after structural relaxation, with properties calculated at the GGA-PBE level.

## Properties
DFT formation energy = 0.01 eV per atom
Energy = -4.732 eV per atom

a b c (Å): 5.179 5.190 10.370
angles (deg): 90.00 90.11 90.00
Fractional coordinates of all 8 atoms:
Pm 0.000 0.000 0.000
Pr 0.000 0.000 0.500
Pr 0.500 0.500 0.000
Nd 0.000 0.500 0.252
Nd 0.000 0.500 0.748
Nd 0.500 0.000 0.252
Nd 0.500 0.000 0.748
Ho 0.500 0.500 0.500

# 14
Below is Ce2AlGa6Pd after structural relaxation, with properties calculated at the GGA-PBE level.

## Properties
DFT formation energy = -0.40 eV per atom
Energy = -4.295 eV per atom

a b c (Å): 12.283 12.283 12.283
angles (deg): 30.10 30.10 30.10
Fractional coordinates of all 20 atoms:
Ce 0.110 0.110 0.110
Ce 0.285 0.285 0.285
Ce 0.715 0.715 0.715
Ce 0.890 0.890 0.890
Al 0.427 0.427 0.427
Al 0.573 0.573 0.573
Ga 0.061 0.669 0.669
Ga 0.228 0.228 0.650
Ga 0.228 0.650 0.228
Ga 0.331 0.331 0.939
Ga 0.331 0.939 0.331
Ga 0.350 0.772 0.772
Ga 0.650 0.228 0.228
Ga 0.669 0.061 0.669
Ga 0.669 0.669 0.061
Ga 0.772 0.350 0.772
Ga 0.772 0.772 0.350
Ga 0.939 0.331 0.331
Pd 0.000 0.000 0.000
Pd 0.500 0.500 0.500

# 15
Below is PdSe4 after structural relaxation, with properties calculated at the GGA-PBE level.

## Properties
Formation energy from raw total energies = 582 meV per atom
Energy = -3.244 eV per atom

a b c (Å): 4.919 4.919 4.919
angles (deg): 90.00 90.00 90.00
Fractional coordinates of all 5 atoms:
Pd 0.000 0.000 0.000
Se 0.000 0.000 0.500
Se 0.000 0.500 0.000
Se 0.500 0.000 0.000
Se 0.500 0.500 0.500

# 16
Below is Ce2SeF4 after structural relaxation, with properties calculated at the GGA-PBE level.

## Properties
Formation energy from raw total energies = -3454 meV per atom
Energy = -6.717 eV per atom

a b c (Å): 7.635 7.635 3.927
angles (deg): 90.00 90.00 90.00
Fractional coordinates of all 14 atoms:
Ce 0.220 0.220 0.000
Ce 0.280 0.720 0.500
Ce 0.720 0.280 0.500
Ce 0.780 0.780 0.000
Se 0.000 0.000 0.500
Se 0.500 0.500 0.000
F 0.088 0.670 0.000
F 0.170 0.412 0.500
F 0.330 0.912 0.000
F 0.412 0.170 0.500
F 0.588 0.830 0.500
F 0.670 0.088 0.000
F 0.830 0.588 0.500
F 0.912 0.330 0.000

# 17
Below is La3HoIr after structural relaxation, with properties calculated at the GGA-PBE level.

## Properties
DFT formation energy = -0.20 eV per atom
Energy = -5.843 eV per atom

a b c (Å): 5.671 5.671 5.671
angles (deg): 90.00 90.00 90.00
Fractional coordinates of all 5 atoms:
La 0.000 0.000 0.500
La 0.000 0.500 0.000
La 0.500 0.000 0.000
Ho 0.500 0.500 0.500
Ir 0.000 0.000 0.000

# 18
Below is Ba2GaCuPt after structural relaxation, with properties calculated at the GGA-PBE level.

## Properties
DFT formation energy = -0.27 eV per atom
Energy = -3.671 eV per atom

a b c (Å): 6.160 6.160 4.797
angles (deg): 90.00 90.00 90.00
Fractional coordinates of all 5 atoms:
Ba 0.000 0.500 0.000
Ba 0.500 0.000 0.000
Ga 0.000 0.000 0.500
Cu 0.500 0.500 0.500
Pt 0.000 0.000 0.000

# 19
Below is CaMg2CuF after structural relaxation, with properties calculated at the GGA-PBE level.

## Properties
Formation energy from raw total energies = -473 meV per atom
Energy = -2.704 eV per atom

a b c (Å): 4.800 4.800 5.605
angles (deg): 90.00 90.00 90.00
Fractional coordinates of all 5 atoms:
Ca 0.000 0.000 0.000
Mg 0.000 0.500 0.500
Mg 0.500 0.000 0.500
Cu 0.000 0.000 0.500
F 0.500 0.500 0.000

# 20
Below is KSrH3 after structural relaxation, with properties calculated at the GGA-PBE level.

## Properties
Energy = -2.515 eV per atom

a b c (Å): 4.591 4.591 4.591
angles (deg): 90.00 90.00 90.00
Fractional coordinates of all 5 atoms:
K 0.000 0.000 0.000
Sr 0.500 0.500 0.500
H 0.000 0.000 0.500
H 0.000 0.500 0.000
H 0.500 0.000 0.000